NiTe2, PBEsol geometry, DFT SCAN; formation energy (no corrections) = 0.22 eV per atom; volume = 21.57 Å³ per atom; total DFT energy (no corrections) = -30.01 eV per atom
1.0
-1.523 1.699 6.254
1.523 -1.699 6.254
1.523 1.699 -6.254
Ni Te
1 2
Direct
0.000 0.000 0.000
0.372 0.372 0.000
0.628 0.628 0.000